Entry 1:
# Cs5Nb2Br12

A relaxed structure of Cs5Nb2Br12 (PBE, Alexandria).

a = 10.7667 Å, b = 10.7667 Å, c = 12.0807 Å
α = 105.58°, β = 105.58°, γ = 40.60°
With the nearest neighbours (Å) after each atom.
Sites, in units of the cell vectors:
Cs (0.0000, 0.0000, 0.0000)  4 Br 3.52
Cs (0.3028, 0.3028, 0.6631)  2 Br 3.39
Cs (0.3070, 0.3070, 0.1254)  4 Br 3.51-3.52
Cs (0.6930, 0.6930, 0.8746)  4 Br 3.51-3.52
Cs (0.6972, 0.6972, 0.3369)  2 Br 3.39
Nb (0.2917, 0.7083, 0.5000)  6 Br 2.56-2.78
Nb (0.7083, 0.2917, 0.5000)  6 Br 2.56-2.78
Br (0.0019, 0.0019, 0.3573)  2 Nb 2.78
Br (0.0936, 0.5977, 0.9064)  4 Cs 3.39-3.52, 2 Br 3.70-3.77
Br (0.1300, 0.6061, 0.4323)  1 Nb 2.56
Br (0.3939, 0.8700, 0.5677)  1 Nb 2.56
Br (0.4023, 0.9064, 0.0936)  4 Cs 3.39-3.52, 2 Br 3.70-3.77
Br (0.4978, 0.4978, 0.6722)  2 Nb 2.61
Br (0.5022, 0.5022, 0.3278)  2 Nb 2.61
Br (0.5977, 0.0936, 0.9064)  4 Cs 3.39-3.52, 2 Br 3.70-3.77
Br (0.6061, 0.1300, 0.4323)  1 Nb 2.56
Br (0.8700, 0.3939, 0.5677)  1 Nb 2.56
Br (0.9064, 0.4023, 0.0936)  4 Cs 3.39-3.52, 2 Br 3.70-3.77
Br (0.9981, 0.9981, 0.6427)  2 Nb 2.78

Calculated values
magnetization	1.3	Bohr magnetons per cell
raw total energy	-3.62	eV/atom
energy relative to the elements, uncorrected	-1.277	eV per atom

---

Entry 2:
# Cs3NbBr7

A relaxed structure of Cs3NbBr7 (PBE, Alexandria).

a = 7.3121 Å, b = 7.3121 Å, c = 9.4076 Å
α = 102.14°, β = 102.14°, γ = 92.38°
With the nearest neighbours (Å) after each atom.
Sites, in units of the cell vectors:
Cs (0.0000, 0.0000, 0.0000)  9 Br 3.57-3.99
Cs (0.3565, 0.8162, 0.5499)  6 Br 3.61-3.80
Cs (0.8162, 0.3565, 0.5499)  6 Br 3.61-3.80
Nb (0.4875, 0.4875, 0.0616)  6 Br 2.57-2.67
Br (0.1424, 0.4854, 0.9172)  1 Nb 2.60
Br (0.3673, 0.3673, 0.2777)  1 Nb 2.67
Br (0.4797, 0.8304, 0.1976)  1 Nb 2.57
Br (0.4854, 0.1424, 0.9172)  1 Nb 2.60
Br (0.6044, 0.6044, 0.8483)  1 Nb 2.62
Br (0.8304, 0.4797, 0.1976)  1 Nb 2.57
Br (0.8866, 0.8866, 0.6017)  5 Cs 3.57-3.80

Calculated values
magnetization	1.0	Bohr magnetons per cell
raw total energy	-3.57	eV/atom
energy relative to the elements, uncorrected	-1.361	eV per atom

---

Entry 3:
# Cs3NbBr8

A relaxed structure of Cs3NbBr8 (PBE, Alexandria).

a = 10.7752 Å, b = 10.7752 Å, c = 9.9313 Å
α = 90.00°, β = 90.00°, γ = 120.00°
With the nearest neighbours (Å) after each atom.
Sites, in units of the cell vectors:
Cs (0.1524, 0.3049, 0.0000)  5 Br 3.41-3.82
Cs (0.1524, 0.8476, 0.0000)  5 Br 3.41-3.82
Cs (0.3049, 0.1524, 0.5000)  5 Br 3.41-3.82
Cs (0.6951, 0.8476, 0.0000)  5 Br 3.41-3.82
Cs (0.8476, 0.1524, 0.5000)  5 Br 3.41-3.82
Cs (0.8476, 0.6951, 0.5000)  5 Br 3.41-3.82
Nb (0.3333, 0.6667, 0.4515)  6 Br 2.54-2.57
Nb (0.6667, 0.3333, 0.9515)  6 Br 2.54-2.57
Br (0.0000, 0.0000, 0.2559)  6 Cs 3.74-3.81
Br (0.0000, 0.0000, 0.7559)  6 Cs 3.74-3.81
Br (0.1097, 0.5549, 0.3061)  1 Nb 2.54
Br (0.2222, 0.4443, 0.6043)  1 Nb 2.57
Br (0.2222, 0.7778, 0.6043)  1 Nb 2.57
Br (0.3333, 0.6667, 0.9503)  3 Cs 3.41
Br (0.4443, 0.2222, 0.1043)  1 Nb 2.57
Br (0.4451, 0.5549, 0.3061)  1 Nb 2.54
Br (0.4451, 0.8903, 0.3061)  1 Nb 2.54
Br (0.5549, 0.1097, 0.8061)  1 Nb 2.54
Br (0.5549, 0.4451, 0.8061)  1 Nb 2.54
Br (0.5557, 0.7778, 0.6043)  1 Nb 2.57
Br (0.6667, 0.3333, 0.4503)  3 Cs 3.41
Br (0.7778, 0.2222, 0.1043)  1 Nb 2.57
Br (0.7778, 0.5557, 0.1043)  1 Nb 2.57
Br (0.8903, 0.4451, 0.8061)  1 Nb 2.54

Calculated values
magnetization	0.2	Bohr magnetons per cell
raw total energy	-3.48	eV/atom
energy relative to the elements, uncorrected	-1.312	eV per atom

---

Entry 4:
# Cs2NbNiBr

A relaxed structure of Cs2NbNiBr (PBE, Alexandria).

a = 7.1472 Å, b = 7.1472 Å, c = 4.3671 Å
α = 90.00°, β = 90.00°, γ = 90.00°
With the nearest neighbours (Å) after each atom.
Sites, in units of the cell vectors:
Cs (0.0000, 0.5000, 0.0000)  2 Br 3.57
Cs (0.5000, 0.0000, 0.0000)  2 Br 3.57
Nb (0.0000, 0.0000, 0.5000)  8 Cs 4.19, 2 Nb 4.37
Ni (0.5000, 0.5000, 0.5000)  2 Br 2.18
Br (0.5000, 0.5000, 0.0000)  2 Ni 2.18

Calculated values
magnetization	5.1	Bohr magnetons per cell
raw total energy	-3.03	eV/atom
energy relative to the elements, uncorrected	0.820	eV per atom

---

Entry 5:
# CsRbNbBr6

A relaxed structure of CsRbNbBr6 (PBE, Alexandria).

a = 8.3190 Å, b = 8.3190 Å, c = 13.4084 Å
α = 90.00°, β = 90.00°, γ = 120.00°
With the nearest neighbours (Å) after each atom.
Sites, in units of the cell vectors:
Cs (0.0000, 0.0000, 0.0000)  6 Br 3.67
Cs (0.0000, 0.0000, 0.5000)  6 Br 3.67
Rb (0.3333, 0.6667, 0.2500)  6 Br 3.48
Rb (0.6667, 0.3333, 0.7500)  6 Br 3.48
Nb (0.3333, 0.6667, 0.7500)  6 Br 2.60
Nb (0.6667, 0.3333, 0.2500)  6 Br 2.60
Br (0.0767, 0.4142, 0.6370)  1 Nb 2.60
Br (0.0767, 0.6625, 0.8630)  1 Nb 2.60
Br (0.3375, 0.4142, 0.8630)  1 Nb 2.60
Br (0.3375, 0.9233, 0.6370)  1 Nb 2.60
Br (0.4142, 0.0767, 0.1370)  1 Nb 2.60
Br (0.4142, 0.3375, 0.3630)  1 Nb 2.60
Br (0.5858, 0.6625, 0.6370)  1 Nb 2.60
Br (0.5858, 0.9233, 0.8630)  1 Nb 2.60
Br (0.6625, 0.0767, 0.3630)  1 Nb 2.60
Br (0.6625, 0.5858, 0.1370)  1 Nb 2.60
Br (0.9233, 0.3375, 0.1370)  1 Nb 2.60
Br (0.9233, 0.5858, 0.3630)  1 Nb 2.60

Calculated values
magnetization	2.0	Bohr magnetons per cell
raw total energy	-3.70	eV/atom
energy relative to the elements, uncorrected	-1.267	eV per atom

---

Entry 6:
# CsRb2NbBr6

A relaxed structure of CsRb2NbBr6 (PBE, Alexandria).

a = 8.5108 Å, b = 8.5108 Å, c = 8.5108 Å
α = 60.00°, β = 60.00°, γ = 60.00°
With the nearest neighbours (Å) after each atom.
Sites, in units of the cell vectors:
Cs (0.0000, 0.0000, 0.0000)  6 Br 3.37
Rb (0.2500, 0.2500, 0.2500)  12 Br 4.27
Rb (0.7500, 0.7500, 0.7500)  12 Br 4.27
Nb (0.5000, 0.5000, 0.5000)  6 Br 2.65
Br (0.2799, 0.2799, 0.7201)  1 Nb 2.65
Br (0.2799, 0.7201, 0.2799)  1 Nb 2.65
Br (0.2799, 0.7201, 0.7201)  1 Nb 2.65
Br (0.7201, 0.2799, 0.2799)  1 Nb 2.65
Br (0.7201, 0.2799, 0.7201)  1 Nb 2.65
Br (0.7201, 0.7201, 0.2799)  1 Nb 2.65

Calculated values
magnetization	2.0	Bohr magnetons per cell
raw total energy	-3.59	eV/atom
energy relative to the elements, uncorrected	-1.302	eV per atom